(1)
The following is a DFT calculation (PBE-GGA) of a relaxed structure of Sr2SmEu.

The calculation puts the relative energy among the computed polymorphs at 0.029 eV/atom. Its calculated formation energy is 0.168 eV per atom.

It has space group P4/mmm (No. 123), with a = 6.340 Å, b = 6.340 Å, c = 4.405 Å, α = 90.00°, β = 90.00° and γ = 90.00°. The distinct sites, in fractional coordinates, are Sr at (0.000, 0.500, 0.000), Sm at (0.000, 0.000, 0.500) and Eu at (0.500, 0.500, 0.500).

(2)
The following is a DFT calculation (PBE-GGA) of a relaxed structure of Cs2NaCaAu.

Its calculated formation energy is 0.173 eV per atom.

It has space group P4/mmm (No. 123), with a = 8.029 Å, b = 8.029 Å, c = 5.583 Å, α = 90.00°, β = 90.00° and γ = 90.00°. The distinct sites, in fractional coordinates, are Cs at (0.000, 0.500, 0.000), Na at (0.000, 0.000, 0.500), Ca at (0.500, 0.500, 0.000) and Au at (0.500, 0.500, 0.500).

(3)
The following is a DFT calculation (PBE-GGA) of a relaxed structure of ErHf4N6.

Its total energy is -455.39 eV per cell.

It has space group Cmcm (No. 63), with a = 3.166 Å, b = 10.612 Å, c = 16.282 Å, α = 90.00°, β = 90.00° and γ = 90.00°. The distinct sites, in fractional coordinates, are Er at (0.000, 0.147, 0.250), Hf at (0.000, 0.107, 0.638), Hf at (0.000, 0.369, 0.548), N at (0.000, 0.000, 0.000), N at (0.000, 0.194, 0.750), N at (0.000, 0.271, 0.082) and N at (0.000, 0.466, 0.660).

| no. | total moment (μB per cell) |
| --- | --- |
| 1 | 7.2 |
| 2 | 0.0 |
| 3 | 0.0 |